VPSO2 | GGA+U | optimized geometry

Results
For the energy, the calculation gives -5.99 eV/atom.

The structure in POSCAR format:
```
VPSO2
1.0
3.600 0.000 0.000
0.000 3.600 0.000
0.000 0.000 5.509
V P S O
1 1 1 2
Direct
0.000 0.000 0.000 V
0.000 0.000 0.500 P
0.500 0.500 0.500 S
0.000 0.500 0.000 O
0.500 0.000 0.000 O
```